Entry 1:
VASP calculation (PBEsol) on Li2Cu2Si6O15 after structural relaxation.

E_form (uncorrected): -2.293 eV per atom
SG: Cmce (64)
Volume: 12.22 Å³/atom
VASP energy: -732.62 eV/cell

a = 11.048 Å, b = 11.048 Å, c = 10.081 Å
α = 90.00°, β = 90.00°, γ = 96.85°
Sites, in units of the cell vectors:
Li: 0.012 0.488 0.750
Li: 0.087 0.913 0.772
Li: 0.413 0.587 0.272
Li: 0.488 0.012 0.250
Li: 0.512 0.988 0.750
Li: 0.587 0.413 0.728
Li: 0.913 0.087 0.228
Li: 0.988 0.512 0.250
Cu: 0.154 0.346 0.250
Cu: 0.248 0.248 0.500
Cu: 0.252 0.252 0.000
Cu: 0.346 0.154 0.750
Cu: 0.654 0.846 0.250
Cu: 0.748 0.748 0.000
Cu: 0.752 0.752 0.500
Cu: 0.846 0.654 0.750
Si: 0.020 0.770 0.020
Si: 0.044 0.169 0.689
Si: 0.085 0.708 0.556
Si: 0.169 0.044 0.311
Si: 0.208 0.585 0.056
Si: 0.230 0.980 0.020
Si: 0.270 0.520 0.520
Si: 0.292 0.915 0.556
Si: 0.331 0.456 0.811
Si: 0.415 0.792 0.056
Si: 0.456 0.331 0.189
Si: 0.480 0.730 0.520
Si: 0.520 0.270 0.480
Si: 0.544 0.669 0.811
Si: 0.585 0.208 0.944
Si: 0.669 0.544 0.189
Si: 0.708 0.085 0.444
Si: 0.730 0.480 0.480
Si: 0.770 0.020 0.980
Si: 0.792 0.415 0.944
Si: 0.831 0.956 0.689
Si: 0.915 0.292 0.444
Si: 0.956 0.831 0.311
Si: 0.980 0.230 0.980
O: 0.006 0.638 0.670
O: 0.014 0.757 0.429
O: 0.021 0.246 0.824
O: 0.029 0.971 0.294
O: 0.093 0.240 0.081
O: 0.095 0.905 0.989
O: 0.115 0.672 0.990
O: 0.138 0.506 0.170
O: 0.155 0.184 0.345
O: 0.170 0.830 0.620
O: 0.172 0.615 0.490
O: 0.184 0.155 0.655
O: 0.240 0.093 0.919
O: 0.243 0.986 0.429
O: 0.246 0.021 0.176
O: 0.254 0.479 0.676
O: 0.257 0.514 0.929
O: 0.260 0.407 0.419
O: 0.316 0.345 0.155
O: 0.328 0.885 0.990
O: 0.330 0.670 0.120
O: 0.345 0.316 0.845
O: 0.362 0.994 0.670
O: 0.385 0.828 0.490
O: 0.405 0.595 0.489
O: 0.407 0.260 0.581
O: 0.471 0.529 0.794
O: 0.479 0.254 0.324
O: 0.486 0.743 0.929
O: 0.494 0.862 0.170
O: 0.506 0.138 0.830
O: 0.514 0.257 0.071
O: 0.521 0.746 0.676
O: 0.529 0.471 0.206
O: 0.593 0.740 0.419
O: 0.595 0.405 0.511
O: 0.615 0.172 0.510
O: 0.638 0.006 0.330
O: 0.655 0.684 0.155
O: 0.670 0.330 0.880
O: 0.672 0.115 0.010
O: 0.684 0.655 0.845
O: 0.740 0.593 0.581
O: 0.743 0.486 0.071
O: 0.746 0.521 0.324
O: 0.754 0.979 0.824
O: 0.757 0.014 0.571
O: 0.760 0.907 0.081
O: 0.816 0.845 0.345
O: 0.828 0.385 0.510
O: 0.830 0.170 0.380
O: 0.845 0.816 0.655
O: 0.862 0.494 0.830
O: 0.885 0.328 0.010
O: 0.905 0.095 0.011
O: 0.907 0.760 0.919
O: 0.971 0.029 0.706
O: 0.979 0.754 0.176
O: 0.986 0.243 0.571
O: 0.994 0.362 0.330

***

Entry 2:
VASP calculation (PBEsol) on LiHgRu after structural relaxation.

SG: I4mm (107)
ΔH_f (0 K): 0.354 eV per atom
Offset from the most stable computed form: 0 meV/atom
Volume: 15.78 Å³/atom
VASP energy: -11.64 eV/cell

a = 6.567 Å, b = 6.567 Å, c = 6.567 Å
α = 155.85°, β = 155.85°, γ = 34.41°
Sites, in units of the cell vectors:
Li: 0.000 0.000 0.000
Hg: 0.329 0.329 0.000
Ru: 0.655 0.655 0.000

***

Entry 3:
VASP calculation (PBEsol) on Ba2CoHgSe after structural relaxation.

E_form (uncorrected): -0.076 eV per atom
SG: P4/mmm (123)
Volume: 36.13 Å³/atom
VASP energy: -16.83 eV/cell

a = 6.206 Å, b = 6.206 Å, c = 4.690 Å
α = 90.00°, β = 90.00°, γ = 90.00°
Sites, in units of the cell vectors:
Ba: 0.000 0.500 0.000
Ba: 0.500 0.000 0.000
Co: 0.000 0.000 0.500
Hg: 0.000 0.000 0.000
Se: 0.500 0.500 0.500

***

Entry 4:
VASP calculation (PBEsol) on AlCd5 after structural relaxation.

SG: P-62m (189)
ΔH_f (0 K): 0.080 eV per atom
Volume: 20.47 Å³/atom
VASP energy: -9.60 eV/cell

a = 5.062 Å, b = 5.062 Å, c = 5.536 Å
α = 90.00°, β = 90.00°, γ = 120.00°
Sites, in units of the cell vectors:
Al: 0.000 0.000 0.000
Cd: 0.000 0.669 0.500
Cd: 0.331 0.331 0.500
Cd: 0.333 0.667 0.000
Cd: 0.667 0.333 0.000
Cd: 0.669 0.000 0.500

***

Entry 5:
VASP calculation (PBEsol) on Mg2CdIr after structural relaxation.

SG: P4/mmm (123)
ΔH_f (0 K): -0.169 eV per atom
Volume: 16.71 Å³/atom
VASP energy: -15.13 eV/cell

a = 4.537 Å, b = 4.537 Å, c = 3.247 Å
α = 90.00°, β = 90.00°, γ = 90.00°
Sites, in units of the cell vectors:
Mg: 0.000 0.500 0.000
Mg: 0.500 0.000 0.000
Cd: 0.000 0.000 0.500
Ir: 0.500 0.500 0.500

***

Entry 6:
VASP calculation (PBEsol) on InBi2O after structural relaxation.

E_form (uncorrected): 0.110 eV per atom
SG: Fm-3m (225)
Volume: 21.68 Å³/atom
VASP energy: -16.36 eV/cell

a = 4.968 Å, b = 4.968 Å, c = 4.968 Å
α = 60.00°, β = 60.00°, γ = 60.00°
Sites, in units of the cell vectors:
In: 0.000 0.000 0.000
Bi: 0.250 0.250 0.250
Bi: 0.750 0.750 0.750
O: 0.500 0.500 0.500

***

Entry 7:
VASP calculation (PBEsol) on LiSc after structural relaxation.

SG: Cmme (67)
ΔH_f (0 K): 0.110 eV per atom
Offset from the most stable computed form: 20 meV/atom
Volume: 22.39 Å³/atom
VASP energy: -16.70 eV/cell

a = 3.095 Å, b = 3.095 Å, c = 9.807 Å
α = 90.00°, β = 90.00°, γ = 107.53°
Sites, in units of the cell vectors:
Li: 0.250 0.750 0.881
Li: 0.750 0.250 0.119
Sc: 0.250 0.750 0.377
Sc: 0.750 0.250 0.623

***

Entry 8:
VASP calculation (PBEsol) on InPbCl2 after structural relaxation.

E_form (uncorrected): -0.659 eV per atom
SG: Pm (6)
Offset from the most stable computed form: 0 meV/atom
Volume: 27.64 Å³/atom
VASP energy: -13.63 eV/cell

a = 3.383 Å, b = 5.714 Å, c = 5.719 Å
α = 90.00°, β = 90.18°, γ = 90.00°
Sites, in units of the cell vectors:
In: 0.000 0.000 0.000
Pb: 0.525 0.500 0.504
Cl: 0.553 0.000 0.487
Cl: 0.555 0.500 0.005

***

Which value of volume does entry 5 give? 16.71 Å³/atom

***

Please write out number 5 again, unchanged.
VASP calculation (PBEsol) on Mg2CdIr after structural relaxation.

SG: P4/mmm (123)
ΔH_f (0 K): -0.169 eV per atom
Volume: 16.71 Å³/atom
VASP energy: -15.13 eV/cell

a = 4.537 Å, b = 4.537 Å, c = 3.247 Å
α = 90.00°, β = 90.00°, γ = 90.00°
Sites, in units of the cell vectors:
Mg: 0.000 0.500 0.000
Mg: 0.500 0.000 0.000
Cd: 0.000 0.000 0.500
Ir: 0.500 0.500 0.500